Version A
Crystalline RbTcC2 at its relaxed geometry. Source: Alexandria via LeMat-Bulk, functional PBE-GGA.

Calculated values
D(E_F) (states/eV per cell): 1.54
Space-group type: No. 141
Magnetic moment (μB per formula unit): 0.000

Structure (POSCAR):
```
RbTcC2
1.0
-3.0950 3.0950 4.3947
3.0950 -3.0950 4.3947
3.0950 3.0950 -4.3947
Rb Tc C
2 2 4
Cartesian
3.0950 1.5475 1.0987
0.0000 1.5475 3.2960
3.0950 -1.5475 3.2960
0.0000 4.6424 1.0987
0.0000 0.0000 0.0000
1.5475 1.5475 -2.1973
1.5475 -1.5475 2.1973
0.0000 3.0950 0.0000
```


Version B
Crystalline RbTcC2 at its relaxed geometry. Source: Alexandria via LeMat-Bulk, functional PBE-GGA.

Calculated values
D(E_F) (states/eV per cell): 4.78
Space-group type: No. 225
Magnetic moment (μB per formula unit): 0.000

Structure (POSCAR):
```
RbTcC2
1.0
0.0000 3.0268 3.0268
3.0268 0.0000 3.0268
3.0268 3.0268 0.0000
Rb Tc C
1 1 2
Cartesian
0.0000 0.0000 0.0000
3.0268 3.0268 3.0268
1.5134 1.5134 1.5134
4.5402 4.5402 4.5402
```


Relative energies, meV per atom: version A 0; version B 2374.


Version A
Crystalline RbTiC2 at its relaxed geometry. Source: Alexandria via LeMat-Bulk, functional PBE-GGA.

Calculated values
D(E_F) (states/eV per cell): 7.22
Space-group type: No. 225
Magnetic moment (μB per formula unit): 0.001

Structure (POSCAR):
```
RbTiC2
1.0
0.0000 3.0865 3.0865
3.0865 0.0000 3.0865
3.0865 3.0865 0.0000
Rb Ti C
1 1 2
Cartesian
0.0000 0.0000 0.0000
3.0865 3.0865 3.0865
1.5433 1.5433 1.5433
4.6298 4.6298 4.6298
```


Version B
Crystalline RbTiC2 at its relaxed geometry. Source: Alexandria via LeMat-Bulk, functional PBE-GGA.

Calculated values
D(E_F) (states/eV per cell): 0.66
Space-group type: No. 122
Magnetic moment (μB per formula unit): 0.000

Structure (POSCAR):
```
RbTiC2
1.0
-2.7446 2.7446 5.9470
2.7446 -2.7446 5.9470
2.7446 2.7446 -5.9470
Rb Ti C
2 2 4
Cartesian
0.0000 0.0000 0.0000
0.0000 2.7446 2.9735
2.7446 0.0000 2.9735
0.0000 0.0000 5.9470
1.3723 2.7368 -1.4868
2.7524 1.3723 1.4868
1.3723 0.0078 4.4603
-0.0078 1.3723 7.4338
```


Relative energies, meV per atom: version A 1321; version B 0.


Version A
Crystalline RbTiC3 at its relaxed geometry. Source: Alexandria via LeMat-Bulk, functional PBE-GGA.

Calculated values
D(E_F) (states/eV per cell): 3.21
Space-group type: No. 221
Magnetic moment (μB per formula unit): 0.000

Structure (POSCAR):
```
RbTiC3
1.0
4.2393 0.0000 0.0000
0.0000 4.2393 0.0000
0.0000 0.0000 4.2393
Rb Ti C
1 1 3
Cartesian
0.0000 0.0000 0.0000
2.1197 2.1197 2.1197
0.0000 0.0000 2.1197
0.0000 2.1197 0.0000
2.1197 0.0000 0.0000
```


Version B
Crystalline RbTiC3 at its relaxed geometry. Source: Alexandria via LeMat-Bulk, functional PBE-GGA.

Calculated values
D(E_F) (states/eV per cell): 2.39
Space-group type: No. 221
Magnetic moment (μB per formula unit): 0.000

Structure (POSCAR):
```
RbTiC3
1.0
4.2440 0.0000 0.0000
0.0000 4.2440 0.0000
0.0000 0.0000 4.2440
Rb Ti C
1 1 3
Cartesian
0.0000 0.0000 0.0000
2.1220 2.1220 2.1220
0.0000 2.1220 2.1220
2.1220 0.0000 2.1220
2.1220 2.1220 0.0000
```


Relative energies, meV per atom: version A 2300; version B 0.


Version A
Crystalline RbTl2C at its relaxed geometry. Source: Alexandria via LeMat-Bulk, functional PBE-GGA.

Calculated values
D(E_F) (states/eV per cell): 3.92
Space-group type: No. 225
Magnetic moment (μB per formula unit): 0.001

Structure (POSCAR):
```
RbTl2C
1.0
0.0000 3.7949 3.7949
3.7949 0.0000 3.7949
3.7949 3.7949 0.0000
Rb Tl C
1 2 1
Cartesian
0.0000 0.0000 0.0000
1.8974 1.8974 1.8974
5.6923 5.6923 5.6923
3.7949 3.7949 3.7949
```


Version B
Crystalline RbTl2C at its relaxed geometry. Source: Alexandria via LeMat-Bulk, functional PBE-GGA.

Calculated values
D(E_F) (states/eV per cell): 5.48
Space-group type: No. 122
Magnetic moment (μB per formula unit): 0.000

Structure (POSCAR):
```
RbTl2C
1.0
-4.0314 4.0314 3.8917
4.0314 -4.0314 3.8917
4.0314 4.0314 -3.8917
Rb Tl C
2 4 2
Cartesian
0.0000 0.0000 0.0000
0.0000 4.0314 1.9459
2.0157 -0.9317 2.9188
3.0997 2.0157 0.9729
2.0157 4.9631 -0.9729
0.9317 2.0157 4.8646
4.0314 0.0000 1.9459
0.0000 0.0000 3.8917
```


Relative energies, meV per atom: version A 470; version B 0.